Density functional theory data (PBE-GGA) for crystalline Nd2SeOF2 at its relaxed geometry.

Cell: 13.6749 13.6749 3.8696 Å, 90.00 90.00 120.00°
Space group P6_3/m (No. 176)
Unique sites:
1 Nd 0.0547 0.7671 0.2500 (multiplicity 6)
2 Nd 0.1210 0.5172 0.2500 (multiplicity 6)
3 Se 0.2058 0.7187 0.7500 (multiplicity 6)
4 O 0.0150 0.4268 0.7500 (multiplicity 6)
5 F 0.0690 0.3157 0.2500 (multiplicity 6)
6 F 0.0980 0.8934 0.7500 (multiplicity 6)

## Properties
The calculation puts the energy at -250.95 eV/cell.

=====

Density functional theory data (PBE-GGA) for crystalline ThScOs at its relaxed geometry.

Cell: 6.707 6.707 6.707 Å, 90.00 90.00 90.00°
Space group F-43m (No. 216)
Unique sites:
1 Th 0.000 0.000 0.000 (multiplicity 4)
2 Sc 0.000 0.000 0.500 (multiplicity 4)
3 Os 0.250 0.250 0.750 (multiplicity 4)

## Properties
The formation energy from the elements comes out at -0.266 eV/atom. The calculation puts the energy at -103.07 eV/cell.

=====

Density functional theory data (PBE-GGA) for crystalline Gd2ErGa3AgIr2 at its relaxed geometry.

Cell: 3.903 12.584 7.343 Å, 90.00 90.00 90.00°
Space group Amm2 (No. 38)
Unique sites:
1 Gd 0.000 0.205 0.000 (multiplicity 4)
2 Er 0.000 0.000 0.384 (multiplicity 2)
3 Ga 0.500 0.000 0.067 (multiplicity 2)
4 Ga 0.500 0.135 0.658 (multiplicity 4)
5 Ag 0.000 0.000 0.792 (multiplicity 2)
6 Ir 0.500 0.164 0.296 (multiplicity 4)

## Properties
The calculation puts the energy at -99.70 eV/cell.

=====

Density functional theory data (PBE-GGA) for crystalline Tm4SiW at its relaxed geometry.

Cell: 8.931 9.045 4.441 Å, 90.00 90.00 90.00°
Space group Cmmm (No. 65)
Unique sites:
1 Tm 0.000 0.191 0.000 (multiplicity 4)
2 Tm 0.198 0.500 0.500 (multiplicity 4)
3 Si 0.000 0.500 0.000 (multiplicity 2)
4 W 0.000 0.000 0.500 (multiplicity 2)

## Properties
The calculation puts the energy at -67.86 eV/cell.

=====

Density functional theory data (PBE-GGA) for crystalline Ho3Re3W2N12 at its relaxed geometry.

Cell: 12.642 12.642 12.642 Å, 90.00 90.00 90.00°
Space group Ia-3d (No. 230)
Unique sites:
1 Ho 0.000 0.250 0.125 (multiplicity 24)
2 Re 0.000 0.250 0.375 (multiplicity 24)
3 W 0.000 0.000 0.000 (multiplicity 16)
4 N 0.032 0.053 0.649 (multiplicity 96)

## Properties
The calculation puts the energy at -1509.19 eV/cell.

=====

Density functional theory data (PBE-GGA) for crystalline PuThAs2 at its relaxed geometry.

Cell: 5.963 5.963 11.914 Å, 90.00 90.00 90.00°
Space group I4_1/amd (No. 141, origin choice 2)
Unique sites:
1 Pu 0.000 0.250 0.375 (multiplicity 4)
2 Th 0.000 0.250 0.875 (multiplicity 4)
3 As 0.000 0.250 0.128 (multiplicity 8)

## Properties
The calculation puts the energy at -144.01 eV/cell.

=====

Density functional theory data (PBE-GGA) for crystalline TbSc2S3 at its relaxed geometry.

Cell: 3.7561 3.7561 9.2721 Å, 90.00 90.00 120.00°
Space group P-3m1 (No. 164)
Unique sites:
1 Tb 0.0000 0.0000 0.0000 (multiplicity 1)
2 Sc 0.3333 0.6667 0.6605 (multiplicity 2)
3 S 0.0000 0.0000 0.5000 (multiplicity 1)
4 S 0.3333 0.6667 0.1827 (multiplicity 2)

## Properties
The calculation puts the energy at -41.12 eV/cell.

=====

Density functional theory data (PBE-GGA) for crystalline ZrSnAs at its relaxed geometry.

Cell: 6.760 6.760 6.760 Å, 90.00 90.00 90.00°
Space group F-43m (No. 216)
Unique sites:
1 Zr 0.000 0.000 0.000 (multiplicity 4)
2 Sn 0.250 0.250 0.250 (multiplicity 4)
3 As 0.250 0.250 0.750 (multiplicity 4)

## Properties
The calculation puts the energy at -68.76 eV/cell.

=====

Density functional theory data (PBE-GGA) for crystalline GaAg2IrO4 at its relaxed geometry.

Cell: 3.0646 3.0646 12.5512 Å, 90.00 90.00 120.00°
Space group P-3m1 (No. 164)
Unique sites:
1 Ga 0.0000 0.0000 0.0000 (multiplicity 1)
2 Ag 0.3333 0.6667 0.2478 (multiplicity 2)
3 Ir 0.0000 0.0000 0.5000 (multiplicity 1)
4 O 0.3333 0.6667 0.0789 (multiplicity 2)
5 O 0.3333 0.6667 0.4179 (multiplicity 2)

## Properties
The calculation puts the energy at -43.50 eV/cell.

=====

Density functional theory data (PBE-GGA) for crystalline Y3Zn4 at its relaxed geometry.

Cell: 8.3077 8.3077 5.1710 Å, 90.00 90.00 120.00°
Space group P6_3/m (No. 176)
Unique sites:
1 Y 0.0820 0.7990 0.2500 (multiplicity 6)
2 Zn 0.1206 0.6262 0.7500 (multiplicity 6)
3 Zn 0.3333 0.6667 0.2500 (multiplicity 2)

## Properties
The formation energy from the elements comes out at -0.097 eV/atom. The calculation puts the energy at -50.26 eV/cell.

=====

Density functional theory data (PBE-GGA) for crystalline TeAu2 at its relaxed geometry.

Cell: 7.980 7.980 7.980 Å, 90.00 90.00 90.00°
Space group Fd-3m (No. 227, origin choice 2)
Unique sites:
1 Te 0.125 0.125 0.125 (multiplicity 8)
2 Au 0.000 0.000 0.500 (multiplicity 16)

## Properties
The calculation puts the energy at -72.40 eV/cell.

=====

Density functional theory data (PBE-GGA) for crystalline ErTlGa at its relaxed geometry.

Cell: 4.396 14.389 4.521 Å, 90.00 90.00 90.00°
Space group Cmmm (No. 65)
Unique sites:
1 Er 0.000 0.160 0.000 (multiplicity 4)
2 Tl 0.000 0.000 0.500 (multiplicity 2)
3 Tl 0.000 0.500 0.000 (multiplicity 2)
4 Ga 0.000 0.311 0.500 (multiplicity 4)

## Properties
The calculation puts the energy at -44.03 eV/cell.

=====

Density functional theory data (PBE-GGA) for crystalline ZrIn at its relaxed geometry.

Cell: 7.186 5.570 16.077 Å, 90.00 90.05 90.00°
Space group P2_1/m (No. 11)
Unique sites:
1 Zr 0.118 0.250 0.171 (multiplicity 2)
2 Zr 0.118 0.750 0.329 (multiplicity 2)
3 Zr 0.368 0.250 0.671 (multiplicity 2)
4 Zr 0.369 0.750 0.829 (multiplicity 2)
5 Zr 0.376 0.250 0.332 (multiplicity 2)
6 Zr 0.376 0.750 0.168 (multiplicity 2)
7 In 0.124 0.250 0.502 (multiplicity 2)
8 In 0.124 0.750 0.998 (multiplicity 2)
9 In 0.128 0.250 0.838 (multiplicity 2)
10 In 0.128 0.750 0.662 (multiplicity 2)
11 In 0.375 0.250 0.006 (multiplicity 2)
12 In 0.375 0.750 0.494 (multiplicity 2)

## Properties
The calculation puts the energy at -136.23 eV/cell.

=====

Density functional theory data (PBE-GGA) for crystalline InCuTeWS2 at its relaxed geometry.

Cell: 3.391 15.757 9.923 Å, 90.00 90.00 90.00°
Space group Cmcm (No. 63)
Unique sites:
1 In 0.000 0.224 0.250 (multiplicity 4)
2 Cu 0.000 0.455 0.750 (multiplicity 4)
3 Te 0.000 0.086 0.750 (multiplicity 4)
4 W 0.000 0.000 0.000 (multiplicity 4)
5 S 0.000 0.391 0.548 (multiplicity 8)

## Properties
The calculation puts the energy at -126.13 eV/cell.

=====

Density functional theory data (PBE-GGA) for crystalline Ho2LuIn3Pt2 at its relaxed geometry.

Cell: 3.596 13.276 7.685 Å, 90.00 90.00 90.00°
Space group Amm2 (No. 38)
Unique sites:
1 Ho 0.000 0.211 0.000 (multiplicity 4)
2 Lu 0.000 0.000 0.632 (multiplicity 2)
3 In 0.500 0.000 0.978 (multiplicity 2)
4 In 0.500 0.115 0.327 (multiplicity 4)
5 Pt 0.500 0.164 0.709 (multiplicity 4)

## Properties
The calculation puts the energy at -82.22 eV/cell.

=====

Density functional theory data (PBE-GGA) for crystalline TmTcGe at its relaxed geometry.

Cell: 6.449 6.449 6.449 Å, 90.00 90.00 90.00°
Space group F-43m (No. 216)
Unique sites:
1 Tm 0.000 0.000 0.000 (multiplicity 4)
2 Tc 0.250 0.250 0.250 (multiplicity 4)
3 Ge 0.250 0.250 0.750 (multiplicity 4)

## Properties
The calculation puts the energy at -68.33 eV/cell.

=====

Density functional theory data (PBE-GGA) for crystalline ErTc2Ge2 at its relaxed geometry.

Cell: 21.580 4.112 4.197 Å, 90.00 99.05 90.00°
Space group C2/m (No. 12)
Unique sites:
1 Er 0.150 0.000 0.366 (multiplicity 4)
2 Tc 0.035 0.000 0.778 (multiplicity 4)
3 Tc 0.038 0.500 0.282 (multiplicity 4)
4 Ge 0.109 0.500 0.842 (multiplicity 4)
5 Ge 0.228 0.500 0.839 (multiplicity 4)

## Properties
The calculation puts the energy at -147.02 eV/cell.

=====

Density functional theory data (PBE-GGA) for crystalline Nd2YIn3AgIr2 at its relaxed geometry.

Cell: 4.048 13.286 7.710 Å, 90.00 90.00 90.00°
Space group Amm2 (No. 38)
Unique sites:
1 Nd 0.000 0.208 0.000 (multiplicity 4)
2 Y 0.000 0.000 0.378 (multiplicity 2)
3 In 0.500 0.000 0.058 (multiplicity 2)
4 In 0.500 0.130 0.659 (multiplicity 4)
5 Ag 0.000 0.000 0.791 (multiplicity 2)
6 Ir 0.500 0.165 0.294 (multiplicity 4)

## Properties
The calculation puts the energy at -99.93 eV/cell.

=====

Density functional theory data (PBE-GGA) for crystalline La2TbO3 at its relaxed geometry.

Cell: 3.5309 3.5309 8.8301 Å, 90.00 90.00 120.00°
Space group P-3m1 (No. 164)
Unique sites:
1 La 0.3333 0.6667 0.1697 (multiplicity 2)
2 Tb 0.0000 0.0000 0.5000 (multiplicity 1)
3 O 0.0000 0.0000 0.0000 (multiplicity 1)
4 O 0.3333 0.6667 0.6374 (multiplicity 2)

## Properties
The calculation puts the energy at -46.52 eV/cell.